## NaAg7Sn2 (PBE-GGA)

Data for NaAg7Sn2 after structural relaxation.

**Symmetry**: No. 65
**Density**: 7.06 Mg/m³
**Crystal system**: orthorhombic
**Final energy**: -2.79 eV per atom

abc: 4.470 7.318 8.169
angles: 116.61 90.00 90.00
Fractional positions:
Sn: 0.500 0.730 0.459
Sn: 0.500 0.270 0.541
Na: 0.000 0.000 0.000
Ag: 0.500 0.500 0.000
Ag: 0.500 0.912 0.208
Ag: 0.500 0.088 0.792
Ag: 0.000 0.386 0.772
Ag: 0.500 0.704 0.792
Ag: 0.500 0.296 0.208
Ag: 0.000 0.614 0.228